(1)
The following is a PBE calculation of a geometry-optimized KPPt2 structure, from Alexandria via LeMat-Bulk.

Geometry as CIF:
```
data_KPPt2
_cell_length_a 4.708
_cell_length_b 4.708
_cell_length_c 4.708
_cell_angle_alpha 60.00
_cell_angle_beta 60.00
_cell_angle_gamma 60.00
_symmetry_space_group_name_H-M 'P 1'
_symmetry_Int_Tables_number 1
loop_
_symmetry_equiv_pos_as_xyz
'x,y,z'
loop_
_atom_site_label
_atom_site_fract_x
_atom_site_fract_y
_atom_site_fract_z
K1 0.500 0.500 0.500
Pt1 0.000 0.000 0.000
Pt2 0.250 0.250 0.250
P1 0.750 0.750 0.750
```

Calculated values
As for the density of states at the Fermi level: 0.795 states/eV/atom. Its space-group type is F-43m (216). For the theoretical density, the calculation gives 10.4 g cm⁻³. The crystal system is cubic.

(2)
The following is a PBE calculation of a geometry-optimized KPPt2 structure, from Alexandria via LeMat-Bulk.

Geometry as CIF:
```
data_KPPt2
_cell_length_a 5.743
_cell_length_b 5.743
_cell_length_c 5.743
_cell_angle_alpha 146.56
_cell_angle_beta 118.50
_cell_angle_gamma 71.85
_symmetry_space_group_name_H-M 'P 1'
_symmetry_Int_Tables_number 1
loop_
_symmetry_equiv_pos_as_xyz
'x,y,z'
loop_
_atom_site_label
_atom_site_fract_x
_atom_site_fract_y
_atom_site_fract_z
Pt1 0.083 0.083 0.000
Pt2 0.417 0.417 0.000
K1 0.750 0.250 0.500
P1 0.250 0.750 0.500
```

Calculated values
As for the density of states at the Fermi level: 0.338 states/eV/atom. Its space-group type is Immm (71). For the theoretical density, the calculation gives 8.5 g cm⁻³. The crystal system is orthorhombic.

(3)
The following is a PBE calculation of a geometry-optimized KPPt structure, from Alexandria via LeMat-Bulk.

Geometry as CIF:
```
data_KPPt
_cell_length_a 4.084
_cell_length_b 3.913
_cell_length_c 6.135
_cell_angle_alpha 71.92
_cell_angle_beta 90.25
_cell_angle_gamma 59.06
_symmetry_space_group_name_H-M 'P 1'
_symmetry_Int_Tables_number 1
loop_
_symmetry_equiv_pos_as_xyz
'x,y,z'
loop_
_atom_site_label
_atom_site_fract_x
_atom_site_fract_y
_atom_site_fract_z
Pt1 0.304 0.799 0.267
K1 0.491 0.426 0.827
P1 0.970 0.466 0.297
```

Calculated values
As for the density of states at the Fermi level: 0.487 states/eV/atom. Its space-group type is P1 (1). For the theoretical density, the calculation gives 5.6 g cm⁻³. The crystal system is triclinic.

(4)
The following is a PBE calculation of a geometry-optimized K2PPt structure, from Alexandria via LeMat-Bulk.

Geometry as CIF:
```
data_K2PPt
_cell_length_a 6.057
_cell_length_b 6.057
_cell_length_c 6.057
_cell_angle_alpha 137.41
_cell_angle_beta 122.84
_cell_angle_gamma 73.83
_symmetry_space_group_name_H-M 'P 1'
_symmetry_Int_Tables_number 1
loop_
_symmetry_equiv_pos_as_xyz
'x,y,z'
loop_
_atom_site_label
_atom_site_fract_x
_atom_site_fract_y
_atom_site_fract_z
K1 0.036 0.036 0.000
K2 0.716 0.216 0.500
P1 0.387 0.387 0.000
Pt1 0.362 0.862 0.500
```

Calculated values
As for the density of states at the Fermi level: 0.306 states/eV/atom. Its space-group type is Imm2 (44). For the theoretical density, the calculation gives 4.1 g cm⁻³. The crystal system is orthorhombic.

(5)
The following is a PBE calculation of a geometry-optimized K2PPt structure, from Alexandria via LeMat-Bulk.

Geometry as CIF:
```
data_K2PPt
_cell_length_a 5.049
_cell_length_b 5.049
_cell_length_c 5.049
_cell_angle_alpha 119.97
_cell_angle_beta 119.97
_cell_angle_gamma 90.05
_symmetry_space_group_name_H-M 'P 1'
_symmetry_Int_Tables_number 1
loop_
_symmetry_equiv_pos_as_xyz
'x,y,z'
loop_
_atom_site_label
_atom_site_fract_x
_atom_site_fract_y
_atom_site_fract_z
Pt1 0.750 0.250 0.500
P1 0.500 0.500 0.000
K1 0.250 0.750 0.500
K2 0.000 0.000 0.000
```

Calculated values
As for the density of states at the Fermi level: 1.121 states/eV/atom. Its space-group type is F-43m (216). For the theoretical density, the calculation gives 5.5 g cm⁻³. The crystal system is cubic.

(6)
The following is a PBE calculation of a geometry-optimized K2PPt structure, from Alexandria via LeMat-Bulk.

Geometry as CIF:
```
data_K2PPt
_cell_length_a 4.442
_cell_length_b 4.442
_cell_length_c 5.092
_cell_angle_alpha 90.00
_cell_angle_beta 90.00
_cell_angle_gamma 90.00
_symmetry_space_group_name_H-M 'P 1'
_symmetry_Int_Tables_number 1
loop_
_symmetry_equiv_pos_as_xyz
'x,y,z'
loop_
_atom_site_label
_atom_site_fract_x
_atom_site_fract_y
_atom_site_fract_z
K1 0.000 0.000 0.500
K2 0.000 0.000 0.000
P1 0.500 0.500 0.250
Pt1 0.500 0.500 0.750
```

Calculated values
As for the density of states at the Fermi level: 0.585 states/eV/atom. Its space-group type is P4/mmm (123). For the theoretical density, the calculation gives 5.0 g cm⁻³. The crystal system is tetragonal.

(7)
The following is a PBE calculation of a geometry-optimized KPPt2 structure, from Alexandria via LeMat-Bulk.

Geometry as CIF:
```
data_KPPt2
_cell_length_a 5.126
_cell_length_b 5.126
_cell_length_c 2.883
_cell_angle_alpha 90.00
_cell_angle_beta 90.00
_cell_angle_gamma 109.34
_symmetry_space_group_name_H-M 'P 1'
_symmetry_Int_Tables_number 1
loop_
_symmetry_equiv_pos_as_xyz
'x,y,z'
loop_
_atom_site_label
_atom_site_fract_x
_atom_site_fract_y
_atom_site_fract_z
Pt1 0.000 0.000 0.000
Pt2 0.500 0.500 0.000
K1 0.500 0.000 0.500
P1 0.000 0.500 0.500
```

Calculated values
As for the density of states at the Fermi level: 0.553 states/eV/atom. Its space-group type is Cmmm (65). For the theoretical density, the calculation gives 10.7 g cm⁻³. The crystal system is orthorhombic.

(8)
The following is a PBE calculation of a geometry-optimized K3P2Pt4 structure, from Alexandria via LeMat-Bulk.

Geometry as CIF:
```
data_K3P2Pt4
_cell_length_a 4.131
_cell_length_b 6.669
_cell_length_c 8.765
_cell_angle_alpha 86.81
_cell_angle_beta 90.00
_cell_angle_gamma 108.04
_symmetry_space_group_name_H-M 'P 1'
_symmetry_Int_Tables_number 1
loop_
_symmetry_equiv_pos_as_xyz
'x,y,z'
loop_
_atom_site_label
_atom_site_fract_x
_atom_site_fract_y
_atom_site_fract_z
P1 0.607 0.214 0.289
P2 0.393 0.786 0.711
K1 0.000 0.000 0.000
K2 0.336 0.671 0.329
K3 0.664 0.329 0.671
Pt1 0.289 0.578 0.922
Pt2 0.711 0.422 0.078
Pt3 0.935 0.870 0.627
Pt4 0.065 0.130 0.373
```

Calculated values
As for the density of states at the Fermi level: 0.388 states/eV/atom. Its space-group type is C2/m (12). For the theoretical density, the calculation gives 7.0 g cm⁻³. The crystal system is monoclinic.

(9)
The following is a PBE calculation of a geometry-optimized KPPt2 structure, from Alexandria via LeMat-Bulk.

Geometry as CIF:
```
data_KPPt2
_cell_length_a 7.962
_cell_length_b 7.962
_cell_length_c 7.962
_cell_angle_alpha 26.40
_cell_angle_beta 26.40
_cell_angle_gamma 26.40
_symmetry_space_group_name_H-M 'P 1'
_symmetry_Int_Tables_number 1
loop_
_symmetry_equiv_pos_as_xyz
'x,y,z'
loop_
_atom_site_label
_atom_site_fract_x
_atom_site_fract_y
_atom_site_fract_z
K1 0.495 0.495 0.495
Pt1 0.273 0.273 0.273
Pt2 0.009 0.009 0.009
P1 0.723 0.723 0.723
```

Calculated values
As for the density of states at the Fermi level: 0.021 states/eV/atom. Its space-group type is R3m (160). For the theoretical density, the calculation gives 8.7 g cm⁻³. The crystal system is trigonal.

(10)
The following is a PBE calculation of a geometry-optimized KPPt2 structure, from Alexandria via LeMat-Bulk.

Geometry as CIF:
```
data_KPPt2
_cell_length_a 5.428
_cell_length_b 5.428
_cell_length_c 8.279
_cell_angle_alpha 70.86
_cell_angle_beta 70.86
_cell_angle_gamma 90.00
_symmetry_space_group_name_H-M 'P 1'
_symmetry_Int_Tables_number 1
loop_
_symmetry_equiv_pos_as_xyz
'x,y,z'
loop_
_atom_site_label
_atom_site_fract_x
_atom_site_fract_y
_atom_site_fract_z
Pt1 0.375 0.125 0.250
Pt2 0.875 0.625 0.750
Pt3 0.375 0.625 0.750
Pt4 0.375 0.625 0.250
P1 0.250 0.750 0.500
P2 0.500 0.500 0.000
K1 0.750 0.250 0.500
K2 0.000 0.000 0.000
```

Calculated values
As for the density of states at the Fermi level: 0.538 states/eV/atom. Its space-group type is I4_1/amd (141). For the theoretical density, the calculation gives 7.1 g cm⁻³. The crystal system is tetragonal.

Here are the calculated energy of formation numbers, same order: 0.551 -0.020 -0.458 -0.486 0.223 0.118 0.435 -0.425 -0.139 -0.447 (eV per atom).
Here are the calculated calculated volume numbers, same order: 74 90 78 124 91 100 71 229 88 108 (Å³/f.u.).
Here are the calculated total magnetic moment numbers, same order: 0.0 0.0 0.0 0.0 0.0 0.0 0.0 0.0 0.0 0.0 (μB per formula unit).